(1)
HoTlCo | GGA-PBE | optimized geometry

Properties
Its symmetry is R-3m (166).

Lattice parameters (Å, degrees): 3.857 3.857 11.192 90.01 99.92 119.94
Positions (direct):
1 Ho 0.890 0.445 0.335
2 Ho 0.110 0.555 0.665
3 Co 0.333 0.166 0.499
4 Co 0.667 0.834 0.501
5 Tl 0.596 0.297 0.893
6 Tl 0.404 0.703 0.107

---

(2)
Ho6Tl3Co | GGA-PBE | optimized geometry

Properties
Its symmetry is P2_1/c (14).

Lattice parameters (Å, degrees): 6.011 8.802 10.542 90.00 88.23 90.00
Positions (direct):
1 Ho 0.621 0.155 0.941
2 Ho 0.409 0.795 0.433
3 Ho 0.127 0.054 0.777
4 Ho 0.879 0.655 0.559
5 Ho 0.627 0.446 0.277
6 Ho 0.591 0.205 0.567
7 Ho 0.873 0.946 0.223
8 Ho 0.373 0.554 0.723
9 Ho 0.909 0.705 0.933
10 Ho 0.379 0.845 0.059
11 Ho 0.091 0.295 0.067
12 Ho 0.121 0.345 0.441
13 Tl 0.000 0.000 0.500
14 Tl 0.500 0.500 0.000
15 Tl 0.091 0.611 0.234
16 Tl 0.909 0.389 0.766
17 Tl 0.591 0.889 0.734
18 Tl 0.409 0.111 0.266
19 Co 0.000 0.000 0.000
20 Co 0.500 0.500 0.500

---

(3)
Ho6TlCo | GGA-PBE | optimized geometry

Properties
Its symmetry is P-1 (2).

Lattice parameters (Å, degrees): 6.817 6.840 7.284 62.26 62.34 60.09
Positions (direct):
1 Ho 0.795 0.029 0.762
2 Ho 0.589 0.203 0.238
3 Ho 0.411 0.797 0.762
4 Ho 0.970 0.589 0.238
5 Ho 0.205 0.971 0.238
6 Ho 0.030 0.411 0.762
7 Tl 0.500 0.500 0.500
8 Co 0.000 0.000 0.000

---

(4)
Ho6TlCo2 | GGA-PBE | optimized geometry

Properties
Its symmetry is Immm (71).

Lattice parameters (Å, degrees): 8.355 8.355 8.355 106.97 109.92 111.56
Positions (direct):
1 Ho 0.524 0.711 0.813
2 Ho 0.787 0.770 0.557
3 Ho 0.304 0.619 0.315
4 Ho 0.102 0.289 0.813
5 Ho 0.476 0.289 0.187
6 Ho 0.787 0.230 0.018
7 Ho 0.696 0.381 0.685
8 Ho 0.213 0.770 0.982
9 Ho 0.213 0.230 0.443
10 Ho 0.898 0.711 0.187
11 Ho 0.696 0.012 0.315
12 Ho 0.304 0.988 0.685
13 Co 0.500 0.612 0.112
14 Co 0.500 0.388 0.888
15 Co 0.620 0.000 0.620
16 Co 0.380 0.000 0.380
17 Tl 0.000 0.500 0.500
18 Tl 0.000 0.000 0.000

---

(5)
Ho4TlCo | GGA-PBE | optimized geometry

Properties
Its symmetry is F-43m (216).

Lattice parameters (Å, degrees): 9.514 9.514 9.514 60.00 60.00 60.00
Positions (direct):
1 Ho 0.938 0.938 0.562
2 Ho 0.809 0.809 0.191
3 Ho 0.790 0.403 0.403
4 Ho 0.403 0.403 0.790
5 Ho 0.938 0.562 0.938
6 Ho 0.938 0.562 0.562
7 Ho 0.403 0.403 0.403
8 Ho 0.562 0.562 0.938
9 Ho 0.191 0.191 0.809
10 Ho 0.809 0.191 0.809
11 Ho 0.809 0.191 0.191
12 Ho 0.403 0.790 0.403
13 Ho 0.191 0.809 0.809
14 Ho 0.562 0.938 0.562
15 Ho 0.191 0.809 0.191
16 Ho 0.562 0.938 0.938
17 Co 0.172 0.609 0.609
18 Co 0.609 0.609 0.172
19 Co 0.609 0.609 0.609
20 Co 0.609 0.172 0.609
21 Tl 0.165 0.506 0.165
22 Tl 0.165 0.165 0.165
23 Tl 0.165 0.165 0.506
24 Tl 0.506 0.165 0.165

---

(6)
Ho5Tl2Co | GGA-PBE | optimized geometry

Properties
Its symmetry is Cmcm (63).

Lattice parameters (Å, degrees): 5.147 8.774 12.385 90.00 90.00 107.06
Positions (direct):
1 Ho 0.918 0.836 0.606
2 Ho 0.296 0.591 0.416
3 Ho 0.704 0.409 0.584
4 Ho 0.296 0.591 0.084
5 Ho 0.290 0.579 0.750
6 Ho 0.082 0.164 0.106
7 Ho 0.082 0.164 0.394
8 Ho 0.710 0.421 0.250
9 Ho 0.918 0.836 0.894
10 Ho 0.704 0.409 0.916
11 Co 0.192 0.384 0.250
12 Co 0.808 0.616 0.750
13 Tl 0.105 0.209 0.866
14 Tl 0.895 0.791 0.134
15 Tl 0.105 0.209 0.634
16 Tl 0.895 0.791 0.366

---

| no. | V (Å³ per cell) | DFT total energy (eV per atom) | spin magnetization (μB per cell) |
| --- | --- | --- | --- |
| 1 | 141.4 | -4.929 | 0.6 |
| 2 | 557.5 | -4.364 | 0.0 |
| 3 | 248.3 | -4.579 | 0.0 |
| 4 | 448.3 | -5.145 | 0.0 |
| 5 | 608.9 | -4.894 | 0.0 |
| 6 | 534.7 | -4.264 | 0.0 |